Computed, not measured: a geometry-optimized BiW2O8 structure at the PBE with a Hubbard U level of DFT.

Mass density, g/cm3: 7.4
Total energy, eV per atom: -6.904
Fermi-level density of states, states/eV per cell: 6.46
M_tot, μB per formula unit: 0.00

a = 5.1754 Å, b = 6.0049 Å, c = 11.2546 Å
α = 90.00°, β = 115.75°, γ = 90.00°
Space group P2/c (No. 13)
One atom of each set of equivalent atoms:
1 Bi 0.0000 0.1589 0.2500
2 W 0.2267 0.3343 0.9908
3 O 0.1578 0.4115 0.6074
4 O 0.2272 0.1416 0.1191
5 O 0.2481 0.1250 0.8766
6 O 0.3422 0.3947 0.4066